Entry 1:
# NiPt3W GGA-PBE relaxed
data_NiPt3W
_chemical_formula_sum 'Ni1 Pt3 W1'
_space_group_name_H-M_alt 'P 1'
_space_group_IT_number 1
_space_group_name_Hall 'P 1'
_cell_length_a 4.487
_cell_length_b 4.487
_cell_length_c 4.487
_cell_angle_alpha 90.00
_cell_angle_beta 90.00
_cell_angle_gamma 90.00
loop_
_atom_site_label
_atom_site_fract_x
_atom_site_fract_y
_atom_site_fract_z
_atom_site_occupancy
Pt1 0.000 0.000 0.500 1
Pt2 0.000 0.500 0.000 1
Pt3 0.500 0.000 0.000 1
W1 0.500 0.500 0.500 1
Ni1 0.000 0.000 0.000 1
# Mass density, g/cm3: 15.2
# Energy above the lowest structure with this stoichiometry, meV/atom: 1578.3
# E, eV per atom: -6.045
# DFT formation energy, eV per formula unit: 6.6

Entry 2:
# MnZnAu4 GGA-PBE relaxed
data_MnZnAu4
_chemical_formula_sum 'Mn1 Zn1 Au4'
_space_group_name_H-M_alt 'P 1'
_space_group_IT_number 1
_space_group_name_Hall 'P 1'
_cell_length_a 4.428
_cell_length_b 4.396
_cell_length_c 7.451
_cell_angle_alpha 70.95
_cell_angle_beta 72.71
_cell_angle_gamma 59.76
loop_
_atom_site_label
_atom_site_fract_x
_atom_site_fract_y
_atom_site_fract_z
_atom_site_occupancy
Au1 0.630 0.624 0.115 1
Au2 0.370 0.376 0.885 1
Au3 0.129 0.121 0.621 1
Au4 0.871 0.879 0.379 1
Mn1 0.500 0.500 0.500 1
Zn1 0.000 0.000 0.000 1
# Mass density, g/cm3: 12.9
# Energy above the lowest structure with this stoichiometry, meV/atom: 134.7
# E, eV per atom: -3.905
# DFT formation energy, eV per formula unit: 0.1

Among the records above, which one has the highest mass density? NiPt3W

The lowest mass density belongs to which entry? MnZnAu4